A) Below is HfCoNO after structural relaxation, with properties calculated at the GGA+U level.

The structure in POSCAR format:
```
HfCoNO
1.0
3.357 0.000 0.000
0.000 5.421 0.000
0.000 0.000 5.785
Hf Co N O
2 2 2 2
direct
0.000 0.165 0.000
0.000 0.835 0.500
0.500 0.317 0.432
0.500 0.683 0.932
0.500 0.342 0.109
0.500 0.658 0.609
0.000 0.171 0.650
0.000 0.829 0.150
```

Results
- size of the total moment (μB per formula unit) = 2.0



B) Below is HfCoNO after structural relaxation, with properties calculated at the GGA+U level.

The structure in POSCAR format:
```
HfCoNO
1.0
3.335 0.000 0.000
0.000 3.335 0.000
0.000 0.000 7.365
Hf Co N O
2 2 2 2
direct
0.250 0.250 0.174
0.750 0.750 0.826
0.250 0.750 0.500
0.750 0.250 0.500
0.250 0.250 0.689
0.750 0.750 0.311
0.250 0.750 0.000
0.750 0.250 0.000
```

Results
- size of the total moment (μB per formula unit) = 2.0



C) Below is HfCoNO after structural relaxation, with properties calculated at the GGA+U level.

The structure in POSCAR format:
```
HfCoNO
1.0
3.748 0.000 0.000
0.000 5.870 0.000
0.000 0.000 4.406
Hf Co N O
2 2 2 2
direct
0.000 0.193 0.000
0.000 0.807 0.500
0.500 0.299 0.507
0.500 0.701 0.007
0.000 0.156 0.500
0.000 0.844 0.000
0.500 0.336 0.004
0.500 0.664 0.504
```

Results
- size of the total moment (μB per formula unit) = 2.0



D) Below is HfCoNO after structural relaxation, with properties calculated at the GGA+U level.

The structure in POSCAR format:
```
HfCoNO
1.0
5.797 0.000 0.000
0.000 5.590 0.000
0.000 0.000 5.189
Hf Co N O
4 4 4 4
direct
0.100 0.236 0.000
0.400 0.236 0.500
0.600 0.764 0.000
0.900 0.764 0.500
0.111 0.765 0.998
0.389 0.765 0.498
0.611 0.235 0.998
0.889 0.235 0.498
0.141 0.004 0.675
0.359 0.004 0.175
0.641 0.996 0.675
0.859 0.996 0.175
0.141 0.484 0.659
0.359 0.484 0.159
0.641 0.516 0.659
0.859 0.516 0.159
```

Results
- size of the total moment (μB per formula unit) = 2.0



The least stable of them is B).